[1]
This record from the Alexandria database describes a geometry-optimized La2MgP3Ir4 structure. The functional is PBE.

Cell and atoms, written as extended XYZ:
```
10
Lattice="-1.0249 1.8745 -3.4837 3.2317 -1.6789 -1.8541 -5.9286 -8.3666 -2.7578" Properties=species:S:1:pos:R:3 pbc="T T T"
Ir -4.3785 -4.5187 -3.5403
Ir -0.4466 -3.7501 -1.8865
Ir 1.1034 0.0978 -2.6689
Ir 0.0000 0.0000 0.0000
P 0.8544 -1.9141 -1.2813
P -2.9643 -4.1833 -1.3789
P -5.6795 -6.3547 -4.1454
La -1.9723 -1.1230 -2.4210
La -2.8528 -7.1458 -3.0058
Mg -1.8609 -4.0855 -4.0478
```

Output
**Symmetry**: No. 115
**E_form**: -0.904 eV/atom
**VASP energy**: -7.2165 eV/atom


[2]
This record from the Alexandria database describes a geometry-optimized LaMgP2Ir5 structure. The functional is PBE.

Cell and atoms, written as extended XYZ:
```
9
Lattice="4.0552 0.0000 0.0000 0.0000 4.0552 0.0000 0.0000 0.0000 10.2474" Properties=species:S:1:pos:R:3 pbc="T T T"
Ir 2.0276 0.0000 1.7715
Ir 2.0276 0.0000 8.4760
Ir 0.0000 2.0276 8.4760
Ir 0.0000 2.0276 1.7715
Ir 2.0276 2.0276 5.1237
P 2.0276 2.0276 2.8250
P 2.0276 2.0276 7.4225
Mg 0.0000 0.0000 0.0000
La 0.0000 0.0000 5.1237
```

Output
**Symmetry**: No. 123
**E_form**: -0.462 eV/atom
**VASP energy**: -7.3120 eV/atom


[3]
This record from the Alexandria database describes a geometry-optimized LaMgPa2Ir4 structure. The functional is PBE.

Cell and atoms, written as extended XYZ:
```
8
Lattice="-0.3509 4.2627 -1.7824 -0.0614 0.5919 -4.5953 -9.1752 0.8852 -2.0996" Properties=species:S:1:pos:R:3 pbc="T T T"
Ir -7.5445 2.6468 -4.2306
Ir -3.9387 4.5686 -6.3674
Ir -2.0430 3.0930 -4.2466
Ir -5.6487 1.1712 -2.1098
La 0.0000 0.0000 0.0000
Pa -6.9242 4.3264 -6.3587
Pa -2.6632 1.4133 -2.1185
Mg -4.7937 2.8699 -4.2386
```

Output
**Symmetry**: No. 166
**E_form**: -0.698 eV/atom
**VASP energy**: -8.3181 eV/atom


[4]
This record from the Alexandria database describes a geometry-optimized LaMg2IrPb structure. The functional is PBE.

Cell and atoms, written as extended XYZ:
```
5
Lattice="5.1129 0.0000 0.0000 0.0000 5.1129 0.0000 0.0000 0.0000 5.3982" Properties=species:S:1:pos:R:3 pbc="T T T"
Pb 2.5564 2.5564 2.6991
Ir 0.0000 0.0000 0.0000
La 0.0000 0.0000 2.6991
Mg 0.0000 2.5564 0.0000
Mg 2.5564 0.0000 0.0000
```

Output
**Symmetry**: No. 123
**E_form**: -0.315 eV/atom
**VASP energy**: -4.4527 eV/atom


[5]
This record from the Alexandria database describes a geometry-optimized La2MgIrPb structure. The functional is PBE.

Cell and atoms, written as extended XYZ:
```
5
Lattice="-3.6298 4.1404 0.2751 -3.9940 -3.3869 -1.7235 -1.0443 -1.2379 4.8527" Properties=species:S:1:pos:R:3 pbc="T T T"
Ir 0.0000 0.0000 0.0000
La -1.9970 -1.6935 -0.8618
La -1.8149 2.0702 0.1375
Mg -0.5221 -0.6190 2.4263
Pb -4.3340 -0.2422 1.7021
```

Output
**Symmetry**: No. 123
**E_form**: -0.522 eV/atom
**VASP energy**: -5.3259 eV/atom


[6]
This record from the Alexandria database describes a geometry-optimized LaMgIrPd structure. The functional is PBE.

Cell and atoms, written as extended XYZ:
```
4
Lattice="4.8632 0.0000 0.0000 2.4316 4.2117 0.0000 2.4316 1.4039 3.9708" Properties=species:S:1:pos:R:3 pbc="T T T"
La 2.4316 1.4039 0.9927
Ir 0.0000 0.0000 0.0000
Mg 7.2949 4.2117 2.9781
Pd 4.8632 2.8078 1.9854
```

Output
**Symmetry**: No. 216
**E_form**: -0.547 eV/atom
**VASP energy**: -5.6907 eV/atom


[7]
This record from the Alexandria database describes a geometry-optimized LaPmMgIr structure. The functional is PBE.

Cell and atoms, written as extended XYZ:
```
4
Lattice="-0.4554 -4.3608 -2.8242 1.6762 -4.5450 1.9321 -3.4367 -3.6653 1.3982" Properties=species:S:1:pos:R:3 pbc="T T T"
Ir -1.1079 -6.2856 0.2530
La -0.5540 -3.1428 0.1265
Pm -1.6619 -9.4284 0.3796
Mg 0.0000 0.0000 0.0000
```

Output
**Symmetry**: No. 216
**E_form**: -0.314 eV/atom
**VASP energy**: -5.3477 eV/atom


[8]
This record from the Alexandria database describes a geometry-optimized RbLa2MgIr structure. The functional is PBE.

Cell and atoms, written as extended XYZ:
```
5
Lattice="5.6586 0.0000 0.0000 0.0000 5.6586 0.0000 0.0000 0.0000 5.5114" Properties=species:S:1:pos:R:3 pbc="T T T"
Ir 0.0000 0.0000 0.0000
La 2.8293 0.0000 0.0000
La 0.0000 2.8293 0.0000
Mg 0.0000 0.0000 2.7557
Rb 2.8293 2.8293 2.7557
```

Output
**Symmetry**: No. 123
**E_form**: -0.171 eV/atom
**VASP energy**: -4.4263 eV/atom